P.
Density functional theory data (PBE-GGA) for a geometry-optimized YTm3 structure.

Cell: 4.9614 4.9614 9.9345 Å, 90.00 90.00 90.00°
Fractional coordinates of all 8 atoms:
Y: 0.0000 0.0000 0.0000
Y: 0.5000 0.5000 0.5000
Tm: 0.0000 0.0000 0.5000
Tm: 0.0000 0.5000 0.2500
Tm: 0.0000 0.5000 0.7500
Tm: 0.5000 0.0000 0.2500
Tm: 0.5000 0.0000 0.7500
Tm: 0.5000 0.5000 0.0000


Q.
Density functional theory data (PBE-GGA) for a geometry-optimized YTm3 structure.

Cell: 7.1640 7.1640 5.5665 Å, 90.00 90.00 120.00°
Fractional coordinates of all 8 atoms:
Y: 0.3333 0.6667 0.2500
Y: 0.6667 0.3333 0.7500
Tm: 0.1657 0.3314 0.7500
Tm: 0.1657 0.8343 0.7500
Tm: 0.3314 0.1657 0.2500
Tm: 0.6686 0.8343 0.7500
Tm: 0.8343 0.1657 0.2500
Tm: 0.8343 0.6686 0.2500


Which of them is the most stable, and which is the least stable? Q and P, in that order.


P.
Density functional theory data (PBE-GGA) for a geometry-optimized Y8Tm3 structure.

Cell: 7.1516 7.1516 7.1516 Å, 84.91 84.91 84.91°
Fractional coordinates of all 11 atoms:
Y: 0.1170 0.1170 0.1170
Y: 0.1941 0.3494 0.6184
Y: 0.3494 0.6184 0.1941
Y: 0.3816 0.8059 0.6506
Y: 0.6184 0.1941 0.3494
Y: 0.6506 0.3816 0.8059
Y: 0.8059 0.6506 0.3816
Y: 0.8830 0.8830 0.8830
Tm: 0.0000 0.0000 0.5000
Tm: 0.0000 0.5000 0.0000
Tm: 0.5000 0.0000 0.0000


Q.
Density functional theory data (PBE-GGA) for a geometry-optimized Y8Tm3 structure.

Cell: 7.6735 7.6735 7.6735 Å, 107.14 107.14 107.14°
Fractional coordinates of all 11 atoms:
Y: 0.1908 0.6827 0.5342
Y: 0.2471 0.2471 0.2471
Y: 0.3173 0.4658 0.8092
Y: 0.4658 0.8092 0.3173
Y: 0.5342 0.1908 0.6827
Y: 0.6827 0.5342 0.1908
Y: 0.7529 0.7529 0.7529
Y: 0.8092 0.3173 0.4658
Tm: 0.0000 0.0000 0.5000
Tm: 0.0000 0.5000 0.0000
Tm: 0.5000 0.0000 0.0000


Which of them is the most stable, and which is the least stable? Q and P, in that order.


P.
Density functional theory data (PBE-GGA) for a geometry-optimized Y3Tm4 structure.

Cell: 9.5192 9.5192 5.5928 Å, 90.00 90.00 120.00°
Fractional coordinates of all 14 atoms:
Y: 0.0488 0.8078 0.2500
Y: 0.1922 0.2410 0.2500
Y: 0.2410 0.0488 0.7500
Y: 0.7590 0.9512 0.2500
Y: 0.8078 0.7590 0.7500
Y: 0.9512 0.1922 0.7500
Tm: 0.0956 0.6171 0.7500
Tm: 0.3333 0.6667 0.2500
Tm: 0.3829 0.4784 0.7500
Tm: 0.4784 0.0956 0.2500
Tm: 0.5216 0.9044 0.7500
Tm: 0.6171 0.5216 0.2500
Tm: 0.6667 0.3333 0.7500
Tm: 0.9044 0.3829 0.2500


Q.
Density functional theory data (PBE-GGA) for a geometry-optimized Y3Tm4 structure.

Cell: 16.5197 3.4643 8.6064 Å, 90.00 116.14 90.00°
Fractional coordinates of all 14 atoms:
Y: 0.0000 0.0000 0.0000
Y: 0.2226 0.0000 0.1519
Y: 0.2774 0.5000 0.8481
Y: 0.5000 0.5000 0.0000
Y: 0.7226 0.5000 0.1519
Y: 0.7774 0.0000 0.8481
Tm: 0.0780 0.0000 0.6986
Tm: 0.1334 0.5000 0.4073
Tm: 0.3666 0.0000 0.5927
Tm: 0.4220 0.5000 0.3014
Tm: 0.5780 0.5000 0.6986
Tm: 0.6334 0.0000 0.4073
Tm: 0.8666 0.5000 0.5927
Tm: 0.9220 0.0000 0.3014


Which of them is the most stable, and which is the least stable? P and Q, in that order.


P.
Density functional theory data (PBE-GGA) for a geometry-optimized Y4Tm3 structure.

Cell: 9.4387 5.8424 8.9657 Å, 90.00 116.19 90.00°
Fractional coordinates of all 14 atoms:
Y: 0.1408 0.0000 0.4236
Y: 0.2130 0.5000 0.1410
Y: 0.2870 0.0000 0.8590
Y: 0.3592 0.5000 0.5764
Y: 0.6408 0.5000 0.4236
Y: 0.7130 0.0000 0.1410
Y: 0.7870 0.5000 0.8590
Y: 0.8592 0.0000 0.5764
Tm: 0.0000 0.0000 0.0000
Tm: 0.0706 0.5000 0.7120
Tm: 0.4294 0.0000 0.2880
Tm: 0.5000 0.5000 0.0000
Tm: 0.5706 0.0000 0.7120
Tm: 0.9294 0.5000 0.2880


Q.
Density functional theory data (PBE-GGA) for a geometry-optimized Y4Tm3 structure.

Cell: 3.5347 4.9981 24.7784 Å, 90.00 90.00 90.00°
Fractional coordinates of all 14 atoms:
Y: 0.0000 0.0000 0.0712
Y: 0.0000 0.0000 0.2137
Y: 0.0000 0.0000 0.7863
Y: 0.0000 0.0000 0.9288
Y: 0.5000 0.5000 0.2863
Y: 0.5000 0.5000 0.4288
Y: 0.5000 0.5000 0.5712
Y: 0.5000 0.5000 0.7137
Tm: 0.0000 0.0000 0.3575
Tm: 0.0000 0.0000 0.5000
Tm: 0.0000 0.0000 0.6425
Tm: 0.5000 0.5000 0.0000
Tm: 0.5000 0.5000 0.1425
Tm: 0.5000 0.5000 0.8575


Which of them is the most stable, and which is the least stable? Q and P, in that order.


P.
Density functional theory data (PBE-GGA) for a geometry-optimized Y7Tm structure.

Cell: 3.5446 11.1617 13.0038 Å, 90.00 90.00 90.00°
Fractional coordinates of all 16 atoms:
Y: 0.0000 0.0000 0.0000
Y: 0.0000 0.0000 0.2605
Y: 0.0000 0.0000 0.7395
Y: 0.0000 0.2671 0.3678
Y: 0.0000 0.2671 0.6322
Y: 0.0000 0.7329 0.3678
Y: 0.0000 0.7329 0.6322
Y: 0.5000 0.2329 0.1322
Y: 0.5000 0.2329 0.8678
Y: 0.5000 0.5000 0.2395
Y: 0.5000 0.5000 0.5000
Y: 0.5000 0.5000 0.7605
Y: 0.5000 0.7671 0.1322
Y: 0.5000 0.7671 0.8678
Tm: 0.0000 0.5000 0.0000
Tm: 0.5000 0.0000 0.5000


Q.
Density functional theory data (PBE-GGA) for a geometry-optimized Y7Tm structure.

Cell: 7.1199 7.1199 7.1199 Å, 60.00 60.00 60.00°
Fractional coordinates of all 8 atoms:
Y: 0.0000 0.0000 0.0000
Y: 0.0000 0.0000 0.5000
Y: 0.0000 0.5000 0.0000
Y: 0.0000 0.5000 0.5000
Y: 0.5000 0.0000 0.0000
Y: 0.5000 0.0000 0.5000
Y: 0.5000 0.5000 0.0000
Tm: 0.5000 0.5000 0.5000


Which of them is the most stable, and which is the least stable? Q and P, in that order.


P.
Density functional theory data (PBE-GGA) for a geometry-optimized Y2TmZn structure.

Cell: 3.5635 3.5635 8.5943 Å, 90.00 90.00 90.00°
Fractional coordinates of all 4 atoms:
Y: 0.0000 0.0000 0.2082
Y: 0.0000 0.0000 0.7918
Tm: 0.5000 0.5000 0.5000
Zn: 0.5000 0.5000 0.0000


Q.
Density functional theory data (PBE-GGA) for a geometry-optimized Y2TmZn structure.

Cell: 5.5045 5.5045 23.1503 Å, 90.00 90.00 120.00°
Fractional coordinates of all 12 atoms:
Y: 0.0000 0.0000 0.1328
Y: 0.0000 0.0000 0.8672
Y: 0.3333 0.6667 0.5339
Y: 0.3333 0.6667 0.7994
Y: 0.6667 0.3333 0.2006
Y: 0.6667 0.3333 0.4661
Tm: 0.0000 0.0000 0.5000
Tm: 0.3333 0.6667 0.1667
Tm: 0.6667 0.3333 0.8333
Zn: 0.0000 0.0000 0.0000
Zn: 0.3333 0.6667 0.6667
Zn: 0.6667 0.3333 0.3333


Which of them is the most stable, and which is the least stable? P and Q, in that order.